DFT (PBE) results for a geometry-optimized NaAgSe2 structure.

formation energy from raw total energies	-0.34	eV per atom
crystal system	tetragonal
space group	I-42d, No. 122

a b c (Å): 6.2753 6.2753 6.2753
angles (deg): 102.53 102.53 124.48
With the nearest neighbours (Å) after each atom.
Atoms (fractional coordinates):
Na: 0.0000 0.0000 0.0000  2 Ag 2.92, 4 Se 3.09
Na: 0.7500 0.2500 0.5000  2 Ag 2.92, 4 Se 3.09
Ag: 0.2500 0.7500 0.5000  4 Se 2.67, 2 Na 2.92
Ag: 0.5000 0.5000 0.0000  4 Se 2.67, 2 Na 2.92
Se: 0.1651 0.6250 0.0401  2 Ag 2.67
Se: 0.3750 0.4151 0.5401  2 Ag 2.67
Se: 0.5849 0.1250 0.9599  2 Ag 2.67
Se: 0.8750 0.8349 0.4599  2 Ag 2.67